The following is a PBE with a Hubbard U calculation of a relaxed V2CdO10 crystal, from Alexandria via LeMat-Bulk.

```
26
Lattice="7.170 -4.671 0.000 7.170 4.671 0.000 -2.028 0.000 6.962" Properties=species:S:1:pos:R:3 pbc="T T T"
V 6.156 4.613 3.481
V 11.373 0.183 1.047
V 10.359 -0.183 4.528
V 7.170 -4.613 0.000
Cd 8.756 2.314 2.280
Cd 7.742 -2.314 5.761
O 7.946 3.325 0.527
O 7.220 3.313 3.511
O 3.912 0.823 2.378
O 2.968 0.220 2.893
O 1.954 -0.220 6.373
O 2.898 -0.823 5.859
O 5.934 0.954 5.399
O 7.065 0.170 1.421
O 6.051 -0.170 4.902
O 10.512 1.623 1.121
O 9.357 1.053 3.953
O 6.948 -0.954 1.918
O 10.398 0.317 6.380
O 10.371 -1.053 0.472
O 11.412 -0.317 2.899
O 6.932 -3.325 4.008
O 13.300 0.322 1.606
O 8.234 -3.313 0.030
O 9.498 -1.623 4.602
O 12.286 -0.322 5.087
```

## Properties
The calculation puts the energy relative to the lowest polymorph listed for this composition at 0.000 eV per atom. Its space group is No. 9. The value obtained for the density of states at the Fermi level is 0.00 states/eV/cell.